(1)
5
Lattice="4.701 0.000 0.000 0.000 4.701 0.000 0.000 0.000 4.701" Properties=species:S:1:pos:R:3 comment="PBE P3RhI, optimized geometry" magmom_total_mub_per_cell=0.3 mass_density_g_cm3=5.2 dos_ef_per_ev_cell=7.65 e_form_raw_mev_per_atom=681 de_polymorph_mev_per_atom=0 pbc="T T T"
P 0.000 0.000 2.351
P 0.000 2.351 0.000
P 2.351 0.000 0.000
Rh 0.000 0.000 0.000
I 2.351 2.351 2.351

(2)
4
Lattice="-2.252 2.252 5.561 2.252 -2.252 5.561 2.252 2.252 -5.561" Properties=species:S:1:pos:R:3 comment="PBE SrLa2Ir, optimized geometry" magmom_total_mub_per_cell=0.0 mass_density_g_cm3=8.2 delta_e_f_ev_per_atom=0.079 dos_ef_per_ev_cell=3.42 de_polymorph_mev_per_atom=543 pbc="T T T"
Sr 0.000 0.000 0.000
La 0.000 0.000 5.561
La 0.000 2.252 2.781
Ir 2.252 0.000 2.781

(3)
5
Lattice="3.830 0.000 0.000 0.000 3.830 0.000 0.000 0.000 5.717" Properties=species:S:1:pos:R:3 comment="PBE YNiH2Se, optimized geometry" magmom_total_mub_per_cell=0.0 mass_density_g_cm3=4.5 dos_ef_per_ev_cell=2.55 pbc="T T T"
Y 0.000 0.000 0.000
Ni 0.000 0.000 2.859
H 0.000 1.915 0.000
H 1.915 0.000 0.000
Se 1.915 1.915 2.859

(4)
4
Lattice="3.640 0.000 0.000 0.000 3.640 0.000 0.000 0.000 8.310" Properties=species:S:1:pos:R:3 comment="PBE LiAl2Cl, optimized geometry" magmom_total_mub_per_cell=0.0 mass_density_g_cm3=1.5 dos_ef_per_ev_cell=2.10 e_form_raw_mev_per_atom=-333 de_polymorph_mev_per_atom=164 pbc="T T T"
Li 0.000 0.000 0.000
Al 0.000 1.820 4.155
Al 1.820 0.000 4.155
Cl 1.820 1.820 0.000

(5)
11
Lattice="9.269 -4.038 0.000 9.269 4.038 0.000 -1.637 0.000 5.263" Properties=species:S:1:pos:R:3 comment="PBE Ca8Mg2In, optimized geometry" magmom_total_mub_per_cell=0.0 mass_density_g_cm3=2.0 delta_e_f_ev_per_atom=-0.103 dos_ef_per_ev_cell=12.15 pbc="T T T"
Ca 0.000 0.000 0.000
Ca 6.654 1.620 2.074
Ca 3.545 -0.789 1.101
Ca 10.248 1.620 3.189
Ca 5.022 -0.997 4.448
Ca 8.451 -1.394 2.632
Ca 11.880 -0.997 0.815
Ca 13.357 -0.789 4.163
Mg 1.852 0.869 3.457
Mg 15.050 0.869 1.807
In 9.269 0.771 0.000

(6)
4
Lattice="3.251 0.000 0.000 0.000 3.251 0.000 0.000 0.000 8.096" Properties=species:S:1:pos:R:3 comment="PBE NpSc2Au, optimized geometry" magmom_total_mub_per_cell=4.0 mass_density_g_cm3=10.2 delta_e_f_ev_per_atom=-0.164 dos_ef_per_ev_cell=8.85 de_polymorph_mev_per_atom=0 pbc="T T T"
Np 0.000 0.000 0.000
Sc 1.625 1.625 2.250
Sc 1.625 1.625 5.846
Au 0.000 0.000 4.048

(7)
8
Lattice="3.774 0.000 0.000 -1.887 3.269 0.000 0.000 0.000 6.769" Properties=species:S:1:pos:R:3 comment="PBE SmH3, optimized geometry" magmom_total_mub_per_cell=0.0 mass_density_g_cm3=6.1 dos_ef_per_ev_cell=0.34 pbc="T T T"
Sm 0.000 2.179 1.692
Sm 1.887 1.090 5.076
H 0.000 0.000 1.692
H 0.000 0.000 5.076
H 0.000 2.179 4.027
H 0.000 2.179 6.125
H 1.887 1.090 0.643
H 1.887 1.090 2.741

(8)
4
Lattice="2.979 0.000 0.000 0.000 3.661 0.000 0.000 0.000 5.717" Properties=species:S:1:pos:R:3 comment="PBE TlFe2Ru, optimized geometry" magmom_total_mub_per_cell=6.0 mass_density_g_cm3=11.1 delta_e_f_ev_per_atom=0.443 dos_ef_per_ev_cell=4.06 de_polymorph_mev_per_atom=55 pbc="T T T"
Tl 0.000 0.000 0.000
Fe 1.489 1.830 1.698
Fe 1.489 1.830 4.019
Ru 0.000 0.000 2.858

(9)
8
Lattice="-1.996 3.827 4.765 1.996 -3.827 4.765 1.996 3.827 -4.765" Properties=species:S:1:pos:R:3 comment="PBE ThZn5Pt2, optimized geometry" magmom_total_mub_per_cell=0.0 mass_density_g_cm3=10.8 delta_e_f_ev_per_atom=-0.545 dos_ef_per_ev_cell=3.36 pbc="T T T"
Th 0.000 0.000 0.000
Zn 1.996 2.449 -1.393
Zn 1.996 2.449 1.393
Zn 0.000 3.827 0.000
Zn 0.000 1.378 3.372
Zn 0.000 1.378 6.158
Pt 1.996 0.000 2.181
Pt 0.000 3.827 2.584

(10)
7
Lattice="-2.642 2.642 8.122 2.642 -2.642 8.122 2.642 2.642 -8.122" Properties=species:S:1:pos:R:3 comment="PBE La2ErTe2Se2, optimized geometry" magmom_total_mub_per_cell=0.5 mass_density_g_cm3=6.3 dos_ef_per_ev_cell=3.23 e_form_raw_mev_per_atom=-1530 pbc="T T T"
La 0.000 0.000 1.938
La 0.000 0.000 14.307
Er 0.000 0.000 8.122
Te 0.000 0.000 5.132
Te 0.000 0.000 11.113
Se 2.642 0.000 0.000
Se 0.000 2.642 0.000

(11)
4
Lattice="0.000 5.196 5.196 5.196 0.000 5.196 5.196 5.196 0.000" Properties=species:S:1:pos:R:3 comment="PBE KRb2Na, optimized geometry" magmom_total_mub_per_cell=0.0 mass_density_g_cm3=1.4 delta_e_f_ev_per_atom=0.030 dos_ef_per_ev_cell=3.21 de_polymorph_mev_per_atom=8 pbc="T T T"
K 0.000 0.000 0.000
Rb 2.598 2.598 2.598
Rb 7.794 7.794 7.794
Na 5.196 5.196 5.196

(12)
10
Lattice="4.340 0.000 0.000 1.843 5.205 0.000 1.419 1.509 6.881" Properties=species:S:1:pos:R:3 comment="PBE LiGe2Rh2, optimized geometry" magmom_total_mub_per_cell=0.0 mass_density_g_cm3=7.7 delta_e_f_ev_per_atom=-0.453 dos_ef_per_ev_cell=3.28 pbc="T T T"
Li 1.894 1.687 1.730
Li 5.708 5.026 5.150
Ge 1.719 3.878 0.159
Ge 3.920 4.683 3.279
Ge 3.681 2.031 3.602
Ge 5.883 2.835 6.721
Rh 1.465 1.379 4.740
Rh 3.759 3.487 5.583
Rh 3.842 3.226 1.297
Rh 6.137 5.335 2.141

(13)
4
Lattice="0.000 3.732 3.732 3.732 0.000 3.732 3.732 3.732 0.000" Properties=species:S:1:pos:R:3 comment="PBE LiTbLuMg, optimized geometry" magmom_total_mub_per_cell=0.0 mass_density_g_cm3=5.8 delta_e_f_ev_per_atom=0.057 dos_ef_per_ev_cell=5.94 pbc="T T T"
Li 0.000 0.000 0.000
Tb 5.598 5.598 5.598
Lu 1.866 1.866 1.866
Mg 3.732 3.732 3.732

(14)
14
Lattice="-2.887 3.616 4.595 2.887 -3.616 4.595 2.887 3.616 -4.595" Properties=species:S:1:pos:R:3 comment="PBE CaHgPO4, optimized geometry" magmom_total_mub_per_cell=0.0 mass_density_g_cm3=5.8 dos_ef_per_ev_cell=2.91 e_form_raw_mev_per_atom=-1985 pbc="T T T"
Ca 0.000 0.000 0.000
Ca 0.000 3.616 0.000
Hg -1.444 1.808 2.298
Hg 1.444 1.808 2.298
P 2.887 1.808 -1.193
P 0.000 1.808 5.788
O 2.887 -0.530 2.069
O 2.887 3.085 -2.069
O 1.597 1.808 -0.267
O 4.177 1.808 -0.267
O -1.290 1.808 4.862
O 1.290 1.808 4.862
O 0.000 0.530 6.664
O 0.000 4.146 2.526

(15)
5
Lattice="5.076 0.000 0.000 0.000 5.076 0.000 0.000 0.000 5.076" Properties=species:S:1:pos:R:3 comment="PBE YCu3Se, optimized geometry" magmom_total_mub_per_cell=0.0 mass_density_g_cm3=4.6 dos_ef_per_ev_cell=3.34 e_form_raw_mev_per_atom=1267 de_polymorph_mev_per_atom=1016 pbc="T T T"
Y 0.000 0.000 0.000
Cu 0.000 0.000 2.538
Cu 0.000 2.538 0.000
Cu 2.538 0.000 0.000
Se 2.538 2.538 2.538

(16)
8
Lattice="3.309 -3.262 0.000 3.309 3.262 0.000 -3.280 0.000 6.671" Properties=species:S:1:pos:R:3 comment="PBE Mg3GaAg4, optimized geometry" magmom_total_mub_per_cell=0.0 mass_density_g_cm3=6.6 delta_e_f_ev_per_atom=-0.193 dos_ef_per_ev_cell=1.67 de_polymorph_mev_per_atom=0 pbc="T T T"
Mg 0.000 0.000 0.000
Mg 0.017 0.000 3.357
Mg 3.321 0.000 3.314
Ga 3.309 0.000 0.000
Ag 1.662 1.629 1.641
Ag 1.676 1.629 5.030
Ag 1.662 -1.629 1.641
Ag 1.676 -1.629 5.030

(17)
5
Lattice="4.941 0.000 0.000 0.000 4.941 0.000 0.000 0.000 4.977" Properties=species:S:1:pos:R:3 comment="PBE HfTlPS2, optimized geometry" magmom_total_mub_per_cell=0.0 mass_density_g_cm3=6.5 dos_ef_per_ev_cell=3.63 e_form_raw_mev_per_atom=950 de_polymorph_mev_per_atom=1433 pbc="T T T"
Hf 0.000 0.000 0.000
Tl 2.470 2.470 2.489
P 2.470 2.470 0.000
S 0.000 2.470 2.489
S 2.470 0.000 2.489

(18)
4
Lattice="1.639 0.946 9.343 -1.639 0.946 9.343 0.000 -1.892 9.343" Properties=species:S:1:pos:R:3 comment="PBE SbS2Cl, optimized geometry" magmom_total_mub_per_cell=0.0 mass_density_g_cm3=4.2 dos_ef_per_ev_cell=3.37 e_form_raw_mev_per_atom=683 de_polymorph_mev_per_atom=987 pbc="T T T"
Sb 0.000 0.000 0.000
S 0.000 0.000 2.477
S 0.000 0.000 25.554
Cl 0.000 0.000 14.015

(19)
8
Lattice="0.000 7.747 8.062 2.315 0.000 8.062 2.315 7.747 0.000" Properties=species:S:1:pos:R:3 comment="PBE BBr, optimized geometry" magmom_total_mub_per_cell=0.0 mass_density_g_cm3=2.1 e_form_raw_mev_per_atom=1517 de_polymorph_mev_per_atom=1843 pbc="T T T"
B 0.579 1.937 0.568
B 0.579 1.937 3.463
B 4.051 13.558 12.661
B 4.051 13.558 15.557
Br 0.579 0.263 2.016
Br 0.579 3.611 2.016
Br 4.051 11.884 14.109
Br 4.051 15.232 14.109

(20)
5
Lattice="5.038 0.000 0.000 0.000 5.038 0.000 0.000 0.000 5.038" Properties=species:S:1:pos:R:3 comment="PBE HPb3N, optimized geometry" magmom_total_mub_per_cell=0.4 mass_density_g_cm3=8.3 dos_ef_per_ev_cell=3.24 de_polymorph_mev_per_atom=0 pbc="T T T"
H 0.000 0.000 0.000
Pb 0.000 2.519 2.519
Pb 2.519 0.000 2.519
Pb 2.519 2.519 0.000
N 2.519 2.519 2.519

no.,total energy (eV per atom)
1,-4.345
2,-5.021
3,-4.483
4,-3.144
5,-2.098
6,-7.384
7,-4.280
8,-6.699
9,-3.779
10,-5.483
11,-1.058
12,-5.624
13,-3.108
14,-5.921
15,-3.181
16,-2.595
17,-4.247
18,-2.873
19,-2.659
20,-3.627